TlRe2As | GGA-PBEsol | relaxed

a = 3.035 Å, b = 5.100 Å, c = 8.689 Å
α = 90.00°, β = 90.00°, γ = 90.00°
Space group Cmmm (No. 65)
Inequivalent atoms, fractional coordinates:
Tl  0.000  0.000  0.000
Re  0.000  0.500  0.279
As  0.000  0.000  0.500

Calculated values
Raw total energy (eV/cell): -61.90
Magnetization (μB/f.u.): 0.00
Energy relative to the lowest polymorph listed for this composition (eV per formula unit): 0.62
Calculated formation energy (eV/atom): 0.863